A relaxed ZnSb2Rh crystal. Source: Alexandria, functional GGA-PBE.

crystal system	monoclinic
magnetization	0.0	μB/cell
VASP energy	-17.15	eV/f.u.
energy relative to the elements, uncorrected	-6.77	kJ/mol of atoms

a = 3.1394 Å, b = 3.3889 Å, c = 8.0132 Å
α = 90.00°, β = 100.21°, γ = 90.00°
With the nearest neighbours (Å) after each atom.
Space group P2/m (No. 10)
Inequivalent atoms, fractional coordinates:
Zn1 0.0000 0.0000 0.0000  4 Sb 2.97, 2 Zn 3.14
Sb1 0.4033 0.5000 0.2889  4 Rh 2.85, 2 Zn 2.97, 2 Sb 3.14
Rh1 0.0000 0.0000 0.5000  8 Sb 2.85, 2 Rh 3.14